Record 1
DFT (PBE) results for crystalline CaTm2Pd9 at its relaxed geometry.

It has space group P4/mmm (No. 123), with a = 4.1129 Å, b = 4.1129 Å, c = 12.2785 Å, α = 90.00°, β = 90.00° and γ = 90.00°. The distinct sites, in fractional coordinates, are Ca at (0.0000, 0.0000, 0.0000), Tm at (0.0000, 0.0000, 0.3343), Pd at (0.0000, 0.5000, 0.1713), Pd at (0.0000, 0.5000, 0.5000), Pd at (0.5000, 0.5000, 0.0000) and Pd at (0.5000, 0.5000, 0.3350).

As for the electronic total energy: -5.579 eV per atom.

***

Record 2
DFT (PBE) results for crystalline CaTm2Pd at its relaxed geometry.

It has space group R3m (No. 160, hexagonal axes), with a = 4.0122 Å, b = 4.0122 Å, c = 27.6299 Å, α = 90.00°, β = 90.00° and γ = 120.00°. The distinct sites, in fractional coordinates, are Ca at (0.0000, 0.0000, 0.0000), Tm at (0.0000, 0.0000, 0.2227), Tm at (0.0000, 0.0000, 0.4464) and Pd at (0.0000, 0.0000, 0.8347).

The value obtained for the distance to the lowest polymorph of the same formula is 67 meV/atom.

***

Record 3
DFT (PBE) results for crystalline CaTm3Pd at its relaxed geometry.

It has space group Pm-3m (No. 221), with a = 5.4545 Å, b = 5.4545 Å, c = 5.4545 Å, α = 90.00°, β = 90.00° and γ = 90.00°. The distinct sites, in fractional coordinates, are Ca at (0.0000, 0.0000, 0.0000), Tm at (0.0000, 0.5000, 0.5000) and Pd at (0.5000, 0.5000, 0.5000).

As for the electronic total energy: -4.311 eV per atom.

***

Record 4
DFT (PBE) results for crystalline Ca2Tm2Pd3 at its relaxed geometry.

It has space group R-3m (No. 166, hexagonal axes), with a = 4.8529 Å, b = 4.8529 Å, c = 24.9697 Å, α = 90.00°, β = 90.00° and γ = 120.00°. The distinct sites, in fractional coordinates, are Ca at (0.0000, 0.0000, 0.1253), Tm at (0.0000, 0.0000, 0.3744), Pd at (0.0000, 0.0000, 0.0000) and Pd at (0.0000, 0.0000, 0.2597).

As for the electronic total energy: -4.810 eV per atom.

***

Record 5
DFT (PBE) results for crystalline CaTmPd3 at its relaxed geometry.

It has space group P2_1/c (No. 14), with a = 9.0155 Å, b = 5.7815 Å, c = 8.2549 Å, α = 90.00°, β = 100.56° and γ = 90.00°. The distinct sites, in fractional coordinates, are Ca at (0.1080, 0.0860, 0.2193), Tm at (0.4402, 0.7281, 0.6226), Pd at (0.1198, 0.6514, 0.0319), Pd at (0.2607, 0.5401, 0.3426) and Pd at (0.3447, 0.2046, 0.5779).

As for the electronic total energy: -5.162 eV per atom.

***

Record 6
DFT (PBE) results for crystalline CaTm2Pd at its relaxed geometry.

It has space group P4/mmm (No. 123), with a = 3.4784 Å, b = 3.4784 Å, c = 9.3686 Å, α = 90.00°, β = 90.00° and γ = 90.00°. The distinct sites, in fractional coordinates, are Ca at (0.0000, 0.0000, 0.0000), Tm at (0.5000, 0.5000, 0.3209) and Pd at (0.0000, 0.0000, 0.5000).

The value obtained for the distance to the lowest polymorph of the same formula is 0 meV/atom.

***

Record 7
DFT (PBE) results for crystalline CaTmPd6 at its relaxed geometry.

It has space group P-6m2 (No. 187), with a = 5.8739 Å, b = 5.8739 Å, c = 4.6803 Å, α = 90.00°, β = 90.00° and γ = 120.00°. The distinct sites, in fractional coordinates, are Ca at (0.0000, 0.0000, 0.0000), Tm at (0.3333, 0.6667, 0.5000), Pd at (0.3445, 0.1722, 0.5000) and Pd at (0.5034, 0.0068, 0.0000).

As for the electronic total energy: -5.382 eV per atom.

***

Record 8
DFT (PBE) results for crystalline CaTm2Pd at its relaxed geometry.

It has space group R-3m (No. 166, hexagonal axes), with a = 3.9780 Å, b = 3.9780 Å, c = 28.0937 Å, α = 90.00°, β = 90.00° and γ = 120.00°. The distinct sites, in fractional coordinates, are Ca at (0.0000, 0.0000, 0.0000), Tm at (0.0000, 0.0000, 0.2217) and Pd at (0.0000, 0.0000, 0.5000).

The value obtained for the distance to the lowest polymorph of the same formula is 70 meV/atom.

***

Record 9
DFT (PBE) results for crystalline CaTmZnPd at its relaxed geometry.

It has space group F-43m (No. 216), with a = 7.0520 Å, b = 7.0520 Å, c = 7.0520 Å, α = 90.00°, β = 90.00° and γ = 90.00°. The distinct sites, in fractional coordinates, are Ca at (0.0000, 0.0000, 0.0000), Tm at (0.0000, 0.0000, 0.5000), Zn at (0.2500, 0.2500, 0.7500) and Pd at (0.2500, 0.2500, 0.2500).

The value obtained for the distance to the lowest polymorph of the same formula is 65 meV/atom.

***

Record 10
DFT (PBE) results for crystalline CaTmZnPd at its relaxed geometry.

It has space group P4mm (No. 99), with a = 3.5293 Å, b = 3.5293 Å, c = 7.2370 Å, α = 90.00°, β = 90.00° and γ = 90.00°. The distinct sites, in fractional coordinates, are Ca at (0.0000, 0.0000, 0.0000), Tm at (0.0000, 0.0000, 0.4800), Zn at (0.5000, 0.5000, 0.7184) and Pd at (0.5000, 0.5000, 0.2795).

The value obtained for the distance to the lowest polymorph of the same formula is 0 meV/atom.

***

Record 11
DFT (PBE) results for crystalline CaUPd6 at its relaxed geometry.

It has space group P4/mmm (No. 123), with a = 4.1250 Å, b = 4.1250 Å, c = 8.2352 Å, α = 90.00°, β = 90.00° and γ = 90.00°. The distinct sites, in fractional coordinates, are Ca at (0.0000, 0.0000, 0.0000), U at (0.0000, 0.0000, 0.5000), Pd at (0.0000, 0.5000, 0.2616), Pd at (0.5000, 0.5000, 0.0000) and Pd at (0.5000, 0.5000, 0.5000).

As for the electronic total energy: -6.155 eV per atom.

***

Record 12
DFT (PBE) results for crystalline CaVPd6 at its relaxed geometry.

It has space group P4/mmm (No. 123), with a = 4.0044 Å, b = 4.0044 Å, c = 8.0074 Å, α = 90.00°, β = 90.00° and γ = 90.00°. The distinct sites, in fractional coordinates, are Ca at (0.0000, 0.0000, 0.0000), V at (0.0000, 0.0000, 0.5000), Pd at (0.0000, 0.5000, 0.2727), Pd at (0.5000, 0.5000, 0.0000) and Pd at (0.5000, 0.5000, 0.5000).

As for the electronic total energy: -5.675 eV per atom.